PaAl4Cu3O12 (PBE, optimized geometry); space-group type = Im-3; E_form (uncorrected) = -44.97 eV per formula unit; DOS(E_F) = 0.557 states/eV/atom
1.0
-6.257 0.246 -0.030
1.853 -5.905 0.958
2.210 3.651 4.583
Pa Al Cu O
1 4 3 12
Cartesian
0.000 0.000 0.000
-3.129 0.123 -0.015
-1.097 -1.004 2.755
0.926 -2.952 0.479
1.105 1.825 2.291
2.031 -1.127 2.770
-2.202 -2.830 0.464
-2.024 1.948 2.276
-0.054 -4.362 1.320
-2.141 2.354 4.191
-1.721 -2.757 3.195
-3.823 -3.308 1.458
-4.286 0.581 1.435
0.418 -1.660 1.793
-2.009 -0.977 1.075
2.092 -2.589 4.075
-0.474 0.748 2.315
1.629 1.300 4.053
-2.613 -0.348 3.718
-0.186 -1.031 4.435